First-principles (GGA-PBE) data for crystalline CsAcZn at its relaxed geometry, as listed in OQMD.

Computed properties:
Symmetry   No. 216
E   -1.352 eV per atom

a b c (Å): 5.7225 5.7225 5.7225
angles (deg): 60.00 60.00 60.00
With the nearest neighbours (Å) after each atom.
Positions (direct):
Zn: 0.7500 0.7500 0.7500  4 Ac 3.50
Cs: 0.2500 0.2500 0.2500  4 Ac 3.50
Ac: 0.0000 0.0000 0.0000  4 Zn 3.50, 4 Cs 3.50



First-principles (GGA-PBE) data for crystalline Zr2TaB2 at its relaxed geometry, as listed in OQMD.

Computed properties:
Symmetry   No. 139
E   -8.407 eV per atom

a b c (Å): 5.9057 5.9057 5.9057
angles (deg): 143.41 143.41 52.72
With the nearest neighbours (Å) after each atom.
Positions (direct):
Zr: 0.7500 0.2500 0.5000  4 B 2.59, 4 Zr 2.62
Zr: 0.2500 0.7500 0.5000  4 B 2.59, 4 Zr 2.62
B: 0.4212 0.4212 0.0000  1 B 1.67
B: 0.5788 0.5788 0.0000  1 B 1.67
Ta: 0.0000 0.0000 0.0000  8 B 2.75



First-principles (GGA-PBE) data for crystalline SmCuTe3Pb at its relaxed geometry, as listed in OQMD.

Computed properties:
Symmetry   No. 63
E   -4.319 eV per atom

a b c (Å): 4.3302 7.6292 11.4542
angles (deg): 90.00 90.00 73.51
With the nearest neighbours (Å) after each atom.
Positions (direct):
Pb: 0.2375 0.5250 0.2500  6 Te 3.29-3.41
Pb: 0.7625 0.4750 0.7500  6 Te 3.29-3.41
Sm: 0.0000 0.0000 0.5000  6 Te 3.11-3.13
Sm: 0.0000 0.0000 0.0000  6 Te 3.11-3.13
Te: 0.3551 0.2898 0.5693  1 Cu 2.67
Te: 0.6449 0.7102 0.4307  1 Cu 2.67
Te: 0.3551 0.2898 0.9307  1 Cu 2.67
Te: 0.0828 0.8345 0.7500  2 Cu 2.72
Te: 0.9172 0.1655 0.2500  2 Cu 2.72
Te: 0.6449 0.7102 0.0693  1 Cu 2.67
Cu: 0.4699 0.0602 0.7500  4 Te 2.67-2.72
Cu: 0.5301 0.9398 0.2500  4 Te 2.67-2.72



First-principles (GGA-PBE) data for crystalline KLuSnTe3 at its relaxed geometry, as listed in OQMD.

Computed properties:
Symmetry   No. 63
E   -4.022 eV per atom

a b c (Å): 8.9604 8.9604 12.5600
angles (deg): 90.00 90.00 27.85
With the nearest neighbours (Å) after each atom.
Positions (direct):
Te: 0.8782 0.8782 0.0000  2 Lu 3.02, 1 Sn 3.14
Te: 0.1218 0.1218 0.0000  2 Lu 3.02, 1 Sn 3.14
Te: 0.8782 0.8782 0.5000  2 Lu 3.02, 1 Sn 3.14
Te: 0.5017 0.5017 0.7500  2 Sn 2.95, 2 Lu 3.14
Te: 0.4983 0.4983 0.2500  2 Sn 2.95, 2 Lu 3.14
Te: 0.1218 0.1218 0.5000  2 Lu 3.02, 1 Sn 3.14
K: 0.2005 0.2005 0.7500  2 Te 3.43
K: 0.7995 0.7995 0.2500  2 Te 3.43
Lu: 0.5000 0.5000 0.0000  6 Te 3.02-3.14
Lu: 0.5000 0.5000 0.5000  6 Te 3.02-3.14
Sn: 0.8858 0.8858 0.7500  4 Te 2.95-3.14
Sn: 0.1142 0.1142 0.2500  4 Te 2.95-3.14



Q: Which of these has the highest E?
A: CsAcZn



Q: Look up the E of the third one.
A: -4.319 eV per atom